*i*
Li2Ti3CoO8 | SCAN | PBEsol geometry

a b c (Å): 8.2383 8.2383 8.2383
angles (deg): 90.00 90.00 90.00
Space group P4_332 (No. 212)
One atom of each set of equivalent atoms:
Li 0.0074 0.4926 0.5074 x8
Ti 0.1121 0.6250 0.1379 x12
Co 0.1250 0.8750 0.3750 x4
O 0.1064 0.6064 0.8936 x8
O 0.1138 0.8798 0.6167 x24

## Properties
* mass density: 4.09 Mg/m³
* crystal system: cubic
* size of the total moment: 0.071 μB/atom



*ii*
Li2Ti3CoO8 | SCAN | PBEsol geometry

a b c (Å): 5.8576 5.8576 9.5165
angles (deg): 90.00 90.00 120.00
Space group P6_3mc (No. 186)
One atom of each set of equivalent atoms:
Li 0.0000 0.0000 0.0000 x2
Li 0.3333 0.6667 0.1071 x2
Ti 0.1688 0.3375 0.7839 x6
Co 0.3333 0.6667 0.5094 x2
O 0.0000 0.0000 0.1838 x2
O 0.0363 0.5181 0.6661 x6
O 0.1612 0.3224 0.3943 x6
O 0.3333 0.6667 0.8960 x2

## Properties
* mass density: 4.04 Mg/m³
* crystal system: hexagonal
* size of the total moment: 0.214 μB/atom



*iii*
Li2Ti3CoO8 | SCAN | PBEsol geometry

a b c (Å): 5.8987 5.8987 14.2211
angles (deg): 90.00 90.00 120.00
Space group R3m (No. 160, hexagonal axes)
One atom of each set of equivalent atoms:
Li 0.0000 0.0000 0.0000 x3
Li 0.0000 0.0000 0.3806 x3
Ti 0.0060 0.5030 0.8824 x9
Co 0.0000 0.0000 0.7639 x3
O 0.0000 0.0000 0.1396 x3
O 0.0000 0.0000 0.6245 x3
O 0.0225 0.5113 0.1394 x9
O 0.1801 0.3603 0.9525 x9

## Properties
* mass density: 4.00 Mg/m³
* crystal system: trigonal
* size of the total moment: 0.214 μB/atom



*iv*
Li2Ti3CoO8 | SCAN | PBEsol geometry

a b c (Å): 8.3068 8.3068 8.3068
angles (deg): 90.00 90.00 90.00
Space group P2_13 (No. 198)
One atom of each set of equivalent atoms:
Li 0.0034 0.4966 0.5034 x4
Li 0.1249 0.8751 0.3751 x4
Ti 0.1186 0.6282 0.1364 x12
Co 0.2471 0.7471 0.7529 x4
O 0.1118 0.1279 0.3883 x12
O 0.1127 0.6127 0.8873 x4
O 0.1248 0.1405 0.8601 x12
O 0.1398 0.3602 0.6398 x4

## Properties
* mass density: 3.99 Mg/m³
* crystal system: cubic
* size of the total moment: 0.214 μB/atom



Stability summary - winner: *iv*; margin: 3.5 kJ/mol of atoms.



*i*
Li3TiCo3O8 | SCAN | PBEsol geometry

a b c (Å): 5.6624 5.6624 8.9719
angles (deg): 90.00 90.00 120.00
Space group P6_3mc (No. 186)
One atom of each set of equivalent atoms:
Li 0.1714 0.3428 0.0000 x6
Ti 0.3333 0.6667 0.5603 x2
Co 0.1682 0.3363 0.2736 x6
O 0.0000 0.0000 0.3769 x2
O 0.0363 0.5181 0.3959 x6
O 0.1611 0.3221 0.6542 x6
O 0.3333 0.6667 0.1643 x2

## Properties
* mass density: 4.98 Mg/m³
* crystal system: hexagonal
* size of the total moment: 0.000 μB/atom



*ii*
Li3TiCo3O8 | SCAN | PBEsol geometry

a b c (Å): 5.5951 5.5951 14.4160
angles (deg): 90.00 90.00 120.00
Space group R-3m (No. 166, hexagonal axes)
One atom of each set of equivalent atoms:
Li 0.0000 0.5000 0.0000 x9
Ti 0.0000 0.0000 0.5000 x3
Co 0.0000 0.5000 0.5000 x9
O 0.0000 0.0000 0.2355 x6
O 0.0044 0.5022 0.7596 x18

## Properties
* mass density: 4.76 Mg/m³
* crystal system: trigonal
* size of the total moment: 0.000 μB/atom



Stability summary - winner: *i*; margin: 2.5 kJ/mol of atoms.



*i*
LiCoRh2 | SCAN | PBEsol geometry

a b c (Å): 5.7864 5.7864 5.7864
angles (deg): 90.00 90.00 90.00
Space group Fm-3m (No. 225)
One atom of each set of equivalent atoms:
Li 0.0000 0.0000 0.0000 x4
Co 0.0000 0.0000 0.5000 x4
Rh 0.2500 0.2500 0.2500 x8

## Properties
* mass density: 9.31 Mg/m³
* crystal system: cubic
* size of the total moment: 1.029 μB/atom



*ii*
LiCoRh2 | SCAN | PBEsol geometry

a b c (Å): 2.6989 4.4236 8.6142
angles (deg): 90.00 90.00 90.00
Space group Cmmm (No. 65)
One atom of each set of equivalent atoms:
Li 0.0000 0.0000 0.0000 x2
Co 0.0000 0.0000 0.5000 x2
Rh 0.0000 0.5000 0.2556 x4

## Properties
* mass density: 8.77 Mg/m³
* crystal system: orthorhombic
* size of the total moment: 0.793 μB/atom



*iii*
LiCoRh2 | SCAN | PBEsol geometry

a b c (Å): 2.5819 4.1072 4.7351
angles (deg): 90.00 94.79 90.00
Space group P2/m (No. 10)
One atom of each set of equivalent atoms:
Li 0.0000 0.0000 0.0000 x1
Co 0.5000 0.0000 0.5000 x1
Rh 0.2364 0.5000 0.7555 x2

## Properties
* mass density: 9.02 Mg/m³
* crystal system: monoclinic
* size of the total moment: 0.849 μB/atom



*iv*
LiCoRh2 | SCAN | PBEsol geometry

a b c (Å): 2.6335 2.6335 25.4911
angles (deg): 90.00 90.00 120.00
Space group R-3m (No. 166, hexagonal axes)
One atom of each set of equivalent atoms:
Li 0.0000 0.0000 0.0000 x3
Co 0.0000 0.0000 0.5000 x3
Rh 0.0000 0.0000 0.2467 x6

## Properties
* mass density: 8.84 Mg/m³
* crystal system: trigonal
* size of the total moment: 0.794 μB/atom



Stability summary - winner: *i*; margin: 2.9 kJ/mol of atoms.